1.
Material: Tl2Se
Method: DFT, GGA-PBEsol
State: optimized geometry

a = 4.306 Å, b = 6.575 Å, c = 6.744 Å
α = 90.00°, β = 90.00°, γ = 109.11°
Atoms (fractional coordinates):
Tl 0.410 0.820 0.654
Tl 0.590 0.180 0.154
Tl 0.124 0.248 0.558
Tl 0.876 0.752 0.058
Se 0.214 0.429 0.954
Se 0.786 0.571 0.454

Output
The uncorrected formation energy comes out at -0.3039 eV/atom. The calculation puts the volume at 180.4 Å³ per cell.

---

2.
Material: Sm2O
Method: DFT, GGA-PBEsol
State: optimized geometry

a = 3.487 Å, b = 3.487 Å, c = 4.917 Å
α = 90.00°, β = 90.00°, γ = 90.00°
Atoms (fractional coordinates):
O 0.000 0.000 0.000
Sm 0.000 0.000 0.500
Sm 0.500 0.500 0.000

Output
The uncorrected formation energy comes out at -1.8951 eV/atom. The calculation puts the volume at 59.8 Å³ per cell.

---

3.
Material: Zr2Pd2Pt
Method: DFT, GGA-PBEsol
State: optimized geometry

a = 4.969 Å, b = 5.244 Å, c = 4.969 Å
α = 118.28°, β = 90.00°, γ = 118.28°
Atoms (fractional coordinates):
Zr 0.250 0.500 0.750
Zr 0.750 0.500 0.250
Pd 0.349 0.697 0.349
Pd 0.651 0.303 0.651
Pt 0.000 0.000 0.000

Output
The calculation puts the volume at 96.1 Å³ per cell. For the total energy, the calculation gives -38.73 eV per cell.

---

4.
Material: Sr3AgW
Method: DFT, GGA-PBEsol
State: optimized geometry

a = 5.829 Å, b = 5.829 Å, c = 5.829 Å
α = 90.00°, β = 90.00°, γ = 90.00°
Atoms (fractional coordinates):
Sr 0.000 0.500 0.000
Sr 0.000 0.000 0.500
Sr 0.500 0.000 0.000
Ag 0.000 0.000 0.000
W 0.500 0.500 0.500

Output
The calculation puts the volume at 198.0 Å³ per cell. For the total energy, the calculation gives -16.72 eV per cell.

---

5.
Material: Mn2TcCl
Method: DFT, GGA-PBEsol
State: optimized geometry

a = 2.734 Å, b = 2.734 Å, c = 6.612 Å
α = 90.00°, β = 90.00°, γ = 90.00°
Atoms (fractional coordinates):
Mn 0.000 0.000 0.744
Mn 0.000 0.000 0.256
Tc 0.500 0.500 0.000
Cl 0.500 0.500 0.500

Output
The uncorrected formation energy comes out at 0.3304 eV/atom. The calculation puts the volume at 49.4 Å³ per cell.

---

6.
Material: YTmTl2
Method: DFT, GGA-PBEsol
State: optimized geometry

a = 5.241 Å, b = 5.241 Å, c = 5.241 Å
α = 60.00°, β = 60.00°, γ = 60.00°
Atoms (fractional coordinates):
Y 0.000 0.000 0.000
Tl 0.250 0.250 0.250
Tl 0.750 0.750 0.750
Tm 0.500 0.500 0.500

Output
The calculation puts the volume at 101.8 Å³ per cell. For the total energy, the calculation gives -18.64 eV per cell.

---

7.
Material: MnSb2Se
Method: DFT, GGA-PBEsol
State: optimized geometry

a = 3.292 Å, b = 5.071 Å, c = 5.071 Å
α = 90.03°, β = 90.00°, γ = 90.00°
Atoms (fractional coordinates):
Mn 0.500 0.500 0.500
Sb 0.000 0.500 0.000
Sb 0.000 0.000 0.500
Se 0.500 0.000 0.000

Output
The uncorrected formation energy comes out at 0.3136 eV/atom. The calculation puts the volume at 84.7 Å³ per cell.

---

8.
Material: Ba2TlRe
Method: DFT, GGA-PBEsol
State: optimized geometry

a = 3.871 Å, b = 5.605 Å, c = 6.534 Å
α = 115.40°, β = 107.23°, γ = 90.00°
Atoms (fractional coordinates):
Re 0.472 0.472 0.945
Tl 0.802 0.302 0.605
Ba 0.017 0.017 0.035
Ba 0.208 0.708 0.416

Output
The calculation puts the volume at 121.0 Å³ per cell. For the total energy, the calculation gives -17.65 eV per cell.

---

9.
Material: Ba2TaTe
Method: DFT, GGA-PBEsol
State: optimized geometry

a = 4.264 Å, b = 4.264 Å, c = 7.594 Å
α = 90.00°, β = 90.00°, γ = 90.00°
Atoms (fractional coordinates):
Ba 0.000 0.000 0.744
Ba 0.000 0.000 0.256
Ta 0.500 0.500 0.000
Te 0.500 0.500 0.500

Output
The uncorrected formation energy comes out at 0.2281 eV/atom. The calculation puts the volume at 138.1 Å³ per cell.

---

10.
Material: MgBe3Ru
Method: DFT, GGA-PBEsol
State: optimized geometry

a = 4.171 Å, b = 4.171 Å, c = 4.171 Å
α = 90.00°, β = 90.00°, γ = 90.00°
Atoms (fractional coordinates):
Ru 0.000 0.000 0.000
Mg 0.500 0.500 0.500
Be 0.000 0.500 0.000
Be 0.000 0.000 0.500
Be 0.500 0.000 0.000

Output
The calculation puts the volume at 72.6 Å³ per cell. For the total energy, the calculation gives -21.78 eV per cell.

---

11.
Material: ReP2Pt
Method: DFT, GGA-PBEsol
State: optimized geometry

a = 2.740 Å, b = 2.740 Å, c = 9.146 Å
α = 90.00°, β = 90.00°, γ = 114.32°
Atoms (fractional coordinates):
P 0.000 0.000 0.041
P 0.500 0.500 0.715
Pt 0.000 0.000 0.505
Re 0.500 0.500 0.238

Output
The calculation puts the volume at 62.6 Å³ per cell. For the total energy, the calculation gives -30.63 eV per cell.

---

12.
Material: GePSO2
Method: DFT, GGA-PBEsol
State: optimized geometry

a = 3.483 Å, b = 3.483 Å, c = 5.917 Å
α = 90.00°, β = 90.00°, γ = 90.00°
Atoms (fractional coordinates):
P 0.000 0.000 0.500
Ge 0.000 0.000 0.000
S 0.500 0.500 0.500
O 0.000 0.500 0.000
O 0.500 0.000 0.000

Output
The uncorrected formation energy comes out at -0.3076 eV/atom. The calculation puts the volume at 71.8 Å³ per cell.

---

Which of these has the lowest volume?
Mn2TcCl